5
Lattice="4.732 0.000 0.000 0.000 4.732 0.000 0.000 0.000 4.732" Properties=species:S:1:pos:R:3 comment="HfMoW3, relaxed, DFT PBE" e_above_lowest_polymorph_mev_per_atom=0 final_energy_ev_per_cell=-51.08 crystal_system=cubic delta_e_f_ev_per_atom=1.712 vol_a3_per_atom=21.19 pbc="T T T"
Hf 0.000 0.000 0.000
Mo 2.366 2.366 2.366
W 0.000 2.366 2.366
W 2.366 0.000 2.366
W 2.366 2.366 0.000